Record 1
Material: PaFeCoSn
Method: DFT, PBE
State: relaxed

It has space group F-43m (No. 216), with a = 6.522 Å, b = 6.522 Å, c = 6.522 Å, α = 90.00°, β = 90.00° and γ = 90.00°. The distinct sites, in fractional coordinates, are Pa at (0.000, 0.000, 0.000), Fe at (0.250, 0.250, 0.750), Co at (0.250, 0.250, 0.250) and Sn at (0.000, 0.000, 0.500).



Record 2
Material: TmPaFeCo
Method: DFT, PBE
State: relaxed

It has space group F-43m (No. 216), with a = 6.627 Å, b = 6.627 Å, c = 6.627 Å, α = 90.00°, β = 90.00° and γ = 90.00°. The distinct sites, in fractional coordinates, are Tm at (0.000, 0.000, 0.000), Pa at (0.000, 0.000, 0.500), Fe at (0.250, 0.250, 0.750) and Co at (0.250, 0.250, 0.250).



Record 3
Material: UPaFeCo
Method: DFT, PBE
State: relaxed

It has space group F-43m (No. 216), with a = 6.332 Å, b = 6.332 Å, c = 6.332 Å, α = 90.00°, β = 90.00° and γ = 90.00°. The distinct sites, in fractional coordinates, are U at (0.000, 0.000, 0.000), Pa at (0.250, 0.250, 0.250), Fe at (0.000, 0.000, 0.500) and Co at (0.250, 0.250, 0.750).



Energy relative to the elements? In order: -0.16, -0.07, -0.12 eV/atom.